No. 1
## Pa3GaC (PBE)

Data for a geometry-optimized Pa3GaC structure.

Values from the calculation:
D(E_F) (states/eV/f.u.): 5.9
Calculated formation energy (eV per atom): -0.256

abc: 4.7413 4.7413 4.7413
angles: 90.00 90.00 90.00
Space group Pm-3m (No. 221)
Inequivalent atoms, fractional coordinates:
Pa 0.0000 0.0000 0.5000 x3
Ga 0.5000 0.5000 0.5000 x1
C 0.0000 0.0000 0.0000 x1



No. 2
## CsTiAs2 (PBE)

Data for a geometry-optimized CsTiAs2 structure.

Values from the calculation:
D(E_F) (states/eV/f.u.): 1.9
Calculated formation energy (eV per atom): 0.436
Polymorph energy (0 for the lowest one) (eV per atom): 0.911

abc: 7.2962 7.2962 7.2962
angles: 90.00 90.00 90.00
Space group Fm-3m (No. 225)
Inequivalent atoms, fractional coordinates:
Cs 0.0000 0.0000 0.0000 x4
Ti 0.0000 0.0000 0.5000 x4
As 0.2500 0.2500 0.2500 x8



No. 3
## Y2CrAs (PBE)

Data for a geometry-optimized Y2CrAs structure.

Values from the calculation:
D(E_F) (states/eV/f.u.): 2.5
Calculated formation energy (eV per atom): -0.554

abc: 4.1853 4.0200 11.0595
angles: 90.00 90.00 90.00
Space group Amm2 (No. 38)
Inequivalent atoms, fractional coordinates:
Y 0.0000 0.0000 0.0000 x2
Y 0.5000 0.0000 0.2856 x2
Cr 0.0000 0.0000 0.7175 x2
As 0.5000 0.0000 0.5706 x2



No. 4
## LaCrCoN2 (PBE)

Data for a geometry-optimized LaCrCoN2 structure.

Values from the calculation:
D(E_F) (states/eV/f.u.): 7.2

abc: 4.2081 4.2081 5.1903
angles: 90.00 90.00 90.00
Space group P4/mmm (No. 123)
Inequivalent atoms, fractional coordinates:
La 0.0000 0.0000 0.0000 x1
Cr 0.5000 0.5000 0.5000 x1
Co 0.0000 0.0000 0.5000 x1
N 0.0000 0.5000 0.0000 x2



No. 5
## YIrRu2 (PBE)

Data for a geometry-optimized YIrRu2 structure.

Values from the calculation:
D(E_F) (states/eV/f.u.): 3.7
Calculated formation energy (eV per atom): -0.009
Polymorph energy (0 for the lowest one) (eV per atom): 0.003

abc: 2.9284 4.4022 5.4754
angles: 90.00 105.12 90.00
Space group Pm (No. 6)
Inequivalent atoms, fractional coordinates:
Y 0.0000 0.0000 0.0000 x1
Ir 0.6082 0.5000 0.2231 x1
Ru 0.3174 0.5000 0.6488 x1
Ru 0.7365 0.0000 0.4908 x1



No. 6
## Hf2VS4 (PBE)

Data for a geometry-optimized Hf2VS4 structure.

Values from the calculation:
D(E_F) (states/eV/f.u.): 3.2
Polymorph energy (0 for the lowest one) (eV per atom): 0.000

abc: 13.4858 3.4871 6.1454
angles: 90.00 116.87 90.00
Space group C2/m (No. 12)
Inequivalent atoms, fractional coordinates:
Hf 0.2446 0.0000 0.2539 x4
V 0.0000 0.5000 0.5000 x2
S 0.1169 0.5000 0.2920 x4
S 0.1205 0.0000 0.7839 x4



No. 7
## CsCd9In4 (PBE)

Data for a geometry-optimized CsCd9In4 structure.

Values from the calculation:
D(E_F) (states/eV/f.u.): 3.4
Calculated formation energy (eV per atom): -0.045

abc: 10.3169 10.3169 14.2638
angles: 90.00 90.00 90.00
Space group I4/mcm (No. 140)
Inequivalent atoms, fractional coordinates:
Cs 0.0000 0.0000 0.2500 x4
Cd 0.0000 0.5000 0.0000 x4
Cd 0.0478 0.1989 0.0000 x16
Cd 0.1175 0.3825 0.1746 x16
In 0.1826 0.3174 0.3750 x16



No. 8
## Be2AlS4 (PBE)

Data for a geometry-optimized Be2AlS4 structure.

Values from the calculation:
D(E_F) (states/eV/f.u.): 6.0

abc: 4.8516 4.8516 5.2433
angles: 90.00 90.00 90.00
Space group P-42m (No. 111)
Inequivalent atoms, fractional coordinates:
Be 0.0000 0.5000 0.0000 x2
Al 0.0000 0.0000 0.5000 x1
S 0.2611 0.2611 0.7668 x4



No. 9
## SrY2Sc (PBE)

Data for a geometry-optimized SrY2Sc structure.

Values from the calculation:
D(E_F) (states/eV/f.u.): 7.5
Calculated formation energy (eV per atom): 0.176
Polymorph energy (0 for the lowest one) (eV per atom): 0.067

abc: 3.6270 3.6270 35.6539
angles: 90.00 90.00 120.00
Space group R-3m (No. 166, hexagonal axes)
Inequivalent atoms, fractional coordinates:
Sr 0.0000 0.0000 0.0000 x3
Y 0.0000 0.0000 0.2404 x6
Sc 0.0000 0.0000 0.5000 x3



No. 10
## Be2TeIr (PBE)

Data for a geometry-optimized Be2TeIr structure.

Values from the calculation:
D(E_F) (states/eV/f.u.): 1.4

abc: 2.9048 2.9048 8.3391
angles: 90.00 90.00 90.00
Space group P4/mmm (No. 123)
Inequivalent atoms, fractional coordinates:
Be 0.0000 0.0000 0.1359 x2
Te 0.5000 0.5000 0.5000 x1
Ir 0.5000 0.5000 0.0000 x1



No. 11
## PmDy2Y4Ho2 (PBE)

Data for a geometry-optimized PmDy2Y4Ho2 structure.

Values from the calculation:
D(E_F) (states/eV/f.u.): 12.4
Calculated formation energy (eV per atom): -0.001

abc: 18.6694 3.5945 9.5515
angles: 90.00 115.75 90.00
Space group C2/m (No. 12)
Inequivalent atoms, fractional coordinates:
Pm 0.0000 0.0000 0.0000 x2
Dy 0.1485 0.0000 0.6673 x4
Y 0.0188 0.5000 0.3355 x4
Y 0.1859 0.0000 0.3341 x4
Ho 0.1677 0.5000 0.9997 x4



No. 12
## BaCuP (PBE)

Data for a geometry-optimized BaCuP structure.

Values from the calculation:
D(E_F) (states/eV/f.u.): 0.3
Calculated formation energy (eV per atom): -0.153

abc: 4.5426 4.5426 8.4149
angles: 90.00 90.00 90.00
Space group I4mm (No. 107)
Inequivalent atoms, fractional coordinates:
Ba 0.0000 0.0000 0.0000 x2
Cu 0.0000 0.0000 0.3761 x2
P 0.0000 0.0000 0.6325 x2



No. 13
## Li6Sb2Pt (PBE)

Data for a geometry-optimized Li6Sb2Pt structure.

Values from the calculation:
D(E_F) (states/eV/f.u.): 1.5

abc: 8.8135 4.2586 8.5875
angles: 90.00 105.35 90.00
Space group C2/m (No. 12)
Inequivalent atoms, fractional coordinates:
Li 0.0325 0.0000 0.2000 x4
Li 0.1764 0.5000 0.0583 x4
Li 0.1881 0.5000 0.4082 x4
Sb 0.1361 0.5000 0.7197 x4
Pt 0.0000 0.0000 0.5000 x2



No. 14
## AcNd9Pb2 (PBE)

Data for a geometry-optimized AcNd9Pb2 structure.

Values from the calculation:
D(E_F) (states/eV/f.u.): 14.2
Calculated formation energy (eV per atom): -0.196

abc: 5.0452 5.0452 15.6551
angles: 90.00 90.00 90.00
Space group P4/mmm (No. 123)
Inequivalent atoms, fractional coordinates:
Ac 0.0000 0.0000 0.0000 x1
Nd 0.0000 0.5000 0.1791 x4
Nd 0.0000 0.5000 0.5000 x2
Nd 0.5000 0.5000 0.0000 x1
Nd 0.5000 0.5000 0.3423 x2
Pb 0.0000 0.0000 0.3389 x2



No. 15
## SmZrBi (PBE)

Data for a geometry-optimized SmZrBi structure.

Values from the calculation:
D(E_F) (states/eV/f.u.): 2.8
Calculated formation energy (eV per atom): -0.580
Polymorph energy (0 for the lowest one) (eV per atom): 0.000

abc: 4.4252 4.4252 8.5233
angles: 90.00 90.00 90.00
Space group P4/nmm (No. 129, origin choice 2)
Inequivalent atoms, fractional coordinates:
Sm 0.2500 0.2500 0.1495 x2
Zr 0.2500 0.7500 0.5000 x2
Bi 0.2500 0.2500 0.7611 x2



No. 16
## PaSbO4F (PBE)

Data for a geometry-optimized PaSbO4F structure.

abc: 9.2869 7.1613 6.7234
angles: 90.00 93.84 90.00
Space group C2/m (No. 12)
Inequivalent atoms, fractional coordinates:
Pa 0.2076 0.0000 0.1306 x4
Sb 0.1167 0.5000 0.3372 x4
O 0.0730 0.5000 0.8251 x4
O 0.1962 0.3079 0.1687 x8
O 0.2238 0.0000 0.4495 x4
F 0.0287 0.0000 0.8240 x4



No. 17
## BeCd2Ni (PBE)

Data for a geometry-optimized BeCd2Ni structure.

Values from the calculation:
D(E_F) (states/eV/f.u.): 1.7
Calculated formation energy (eV per atom): 0.112

abc: 3.0926 4.3964 8.9366
angles: 90.00 90.00 90.00
Space group Imm2 (No. 44)
Inequivalent atoms, fractional coordinates:
Be 0.0000 0.0000 0.0000 x2
Cd 0.0000 0.0000 0.5560 x2
Cd 0.0000 0.5000 0.7699 x2
Ni 0.0000 0.5000 0.3297 x2



No. 18
## CaTl2Pd3 (PBE)

Data for a geometry-optimized CaTl2Pd3 structure.

Values from the calculation:
D(E_F) (states/eV/f.u.): 2.6
Calculated formation energy (eV per atom): -0.338

abc: 4.9028 6.7385 7.6132
angles: 90.00 106.92 90.00
Space group P2/m (No. 10)
Inequivalent atoms, fractional coordinates:
Ca 0.1514 0.0000 0.3225 x2
Tl 0.1627 0.5000 0.3473 x2
Tl 0.5000 0.0000 0.0000 x1
Tl 0.5000 0.5000 0.0000 x1
Pd 0.0000 0.2775 0.0000 x2
Pd 0.3571 0.2554 0.6780 x4



No. 19
## YRhW2 (PBE)

Data for a geometry-optimized YRhW2 structure.

Values from the calculation:
D(E_F) (states/eV/f.u.): 3.7
Calculated formation energy (eV per atom): 0.176
Polymorph energy (0 for the lowest one) (eV per atom): 0.126

abc: 10.6652 3.0753 4.6308
angles: 90.00 107.50 90.00
Space group C2/m (No. 12)
Inequivalent atoms, fractional coordinates:
Y 0.0000 0.0000 0.0000 x2
Rh 0.0000 0.5000 0.5000 x2
W 0.2336 0.0000 0.7250 x4



No. 20
## ZnPtAu2 (PBE)

Data for a geometry-optimized ZnPtAu2 structure.

Values from the calculation:
D(E_F) (states/eV/f.u.): 0.9
Calculated formation energy (eV per atom): -0.097

abc: 2.8733 2.8733 27.6477
angles: 90.00 90.00 120.00
Space group R-3m (No. 166, hexagonal axes)
Inequivalent atoms, fractional coordinates:
Zn 0.0000 0.0000 0.0000 x3
Pt 0.0000 0.0000 0.5000 x3
Au 0.0000 0.0000 0.2538 x6



No. 21
## CsPtI (PBE)

Data for a geometry-optimized CsPtI structure.

Values from the calculation:
D(E_F) (states/eV/f.u.): 0.0
Polymorph energy (0 for the lowest one) (eV per atom): 0.048

abc: 5.7104 10.9751 7.6809
angles: 90.00 90.00 90.00
Space group Imma (No. 74)
Inequivalent atoms, fractional coordinates:
Cs 0.0000 0.0000 0.0000 x4
Pt 0.2500 0.2500 0.2500 x4
I 0.0000 0.2500 0.5373 x4



No. 22
## Mg4Si7 (PBE)

Data for a geometry-optimized Mg4Si7 structure.

Values from the calculation:
D(E_F) (states/eV/f.u.): 3.7
Polymorph energy (0 for the lowest one) (eV per atom): 0.012

abc: 4.3590 6.8006 13.7724
angles: 84.81 88.45 83.83
Space group P1 (No. 1)
Inequivalent atoms, fractional coordinates:
Mg 0.0000 0.0000 0.0000 x1
Mg 0.9995 0.1509 0.7669 x1
Mg 0.0382 0.5125 0.9262 x1
Mg 0.0517 0.1368 0.5324 x1
Mg 0.0644 0.6879 0.6827 x1
Mg 0.4704 0.9508 0.1830 x1
Mg 0.5262 0.8322 0.8513 x1
Mg 0.5544 0.4872 0.2633 x1
Si 0.0304 0.2880 0.1483 x1
Si 0.0729 0.4994 0.4081 x1
Si 0.1280 0.1993 0.3250 x1
Si 0.4620 0.3409 0.6383 x1
Si 0.4860 0.2023 0.9031 x1
Si 0.5059 0.6834 0.0409 x1
Si 0.5292 0.9862 0.6639 x1
Si 0.5304 0.3208 0.0614 x1
Si 0.5577 0.5139 0.4868 x1
Si 0.5810 0.4748 0.7852 x1
Si 0.6567 0.0453 0.3700 x1
Si 0.6765 0.8348 0.5189 x1
Si 0.9995 0.6558 0.1347 x1
Si 0.9988 0.7848 0.2924 x1



No. 23
## YEr2Th3S6 (PBE)

Data for a geometry-optimized YEr2Th3S6 structure.

Values from the calculation:
D(E_F) (states/eV/f.u.): 7.3

abc: 6.7298 11.5930 7.1275
angles: 90.00 108.14 90.00
Space group C2/m (No. 12)
Inequivalent atoms, fractional coordinates:
Y 0.0000 0.0000 0.0000 x2
Er 0.0000 0.3332 0.0000 x4
Th 0.0000 0.1655 0.5000 x4
Th 0.0000 0.5000 0.5000 x2
S 0.2403 0.5000 0.2299 x4
S 0.2452 0.1681 0.2313 x8



No. 24
## Ca3Si3Ir2 (PBE)

Data for a geometry-optimized Ca3Si3Ir2 structure.

Values from the calculation:
D(E_F) (states/eV/f.u.): 3.7
Polymorph energy (0 for the lowest one) (eV per atom): 0.030

abc: 4.2315 10.8408 14.4563
angles: 90.00 90.00 90.00
Space group Cmcm (No. 63)
Inequivalent atoms, fractional coordinates:
Ca 0.0000 0.0686 0.1094 x8
Ca 0.0000 0.3677 0.2500 x4
Si 0.0000 0.3301 0.7500 x4
Si 0.0000 0.3418 0.0376 x8
Ir 0.0000 0.2147 0.6047 x8



| no. | spin magnetization (μB/f.u.) | DFT total energy (eV per atom) |
| --- | --- | --- |
| 1 | 0.00 | -8.40 |
| 2 | 0.00 | -4.08 |
| 3 | 3.33 | -7.35 |
| 4 | 1.26 | -5.62 |
| 5 | 0.00 | -8.48 |
| 6 | 2.00 | -7.86 |
| 7 | 0.00 | -1.48 |
| 8 | 0.00 | -4.76 |
| 9 | 0.00 | -5.06 |
| 10 | 0.00 | -4.89 |
| 11 | 0.00 | -5.44 |
| 12 | 0.00 | -3.96 |
| 13 | 0.00 | -3.37 |
| 14 | 0.00 | -4.73 |
| 15 | 0.00 | -6.30 |
| 16 | 0.00 | -7.58 |
| 17 | 0.00 | -2.72 |
| 18 | 0.00 | -4.06 |
| 19 | 0.00 | -9.75 |
| 20 | 0.00 | -3.56 |
| 21 | 0.00 | -3.35 |
| 22 | 0.00 | -3.92 |
| 23 | 0.00 | -7.11 |
| 24 | 0.00 | -5.70 |